{"formula": "GeI3Cl4", "functional": "GGA-PBE", "state": "optimized geometry", "final_energy_ev_per_cell": -41.84, "sg": "Pm (6)", "lattice_angstrom": [[6.757, 0.000, 0.000], [0.000, 8.638, 0.000], [-0.417, 0.000, 13.942]], "species": ["Ge", "Ge", "I", "I", "I", "I", "I", "I", "Cl", "Cl", "Cl", "Cl", "Cl", "Cl", "Cl", "Cl"], "frac_coords": [[0.000, 0.000, 0.000], [0.499, 0.500, 0.183], [0.404, 0.173, 0.694], [0.404, 0.827, 0.694], [0.468, 0.500, 0.736], [0.867, 0.000, 0.448], [0.937, 0.327, 0.489], [0.937, 0.673, 0.489], [0.316, 0.000, 0.009], [0.365, 0.500, 0.043], [0.407, 0.298, 0.259], [0.407, 0.702, 0.259], [0.813, 0.500, 0.174], [0.886, 0.000, 0.141], [0.898, 0.202, 0.925], [0.898, 0.798, 0.925]]}


{"formula": "ThNi2", "functional": "GGA-PBE", "state": "optimized geometry", "sg": "I4/mmm (139)", "ef_ev_per_atom": -0.23, "lattice_angstrom": [[-1.813, 1.813, 4.155], [1.813, -1.813, 4.155], [1.813, 1.813, -4.155]], "species": ["Th", "Ni", "Ni"], "frac_coords": [[0.000, 0.000, 0.000], [0.338, 0.338, 0.000], [0.662, 0.662, 0.000]]}


{"formula": "YAs3Br", "functional": "GGA-PBE", "state": "optimized geometry", "final_energy_ev_per_cell": -19.89, "sg": "Pm-3m (221)", "lattice_angstrom": [[5.038, 0.000, 0.000], [0.000, 5.038, 0.000], [0.000, 0.000, 5.038]], "species": ["Y", "As", "As", "As", "Br"], "frac_coords": [[0.000, 0.000, 0.000], [0.000, 0.500, 0.500], [0.500, 0.000, 0.500], [0.500, 0.500, 0.000], [0.500, 0.500, 0.500]]}


{"formula": "CaPSe2", "functional": "GGA-PBE", "state": "optimized geometry", "final_energy_ev_per_cell": -16.88, "sg": "P2/m (10)", "lattice_angstrom": [[4.091, 0.000, 0.000], [0.000, 3.595, 0.000], [-1.972, 0.000, 6.181]], "species": ["Ca", "P", "Se", "Se"], "frac_coords": [[0.000, 0.000, 0.000], [0.000, 0.000, 0.500], [0.355, 0.500, 0.743], [0.645, 0.500, 0.257]]}


{"formula": "ScUP2", "functional": "GGA-PBE", "state": "optimized geometry", "relative_energy_mev_per_atom": 149, "sg": "R3m (160)", "ef_ev_per_atom": -1.09, "lattice_angstrom": [[1.876, 1.083, 6.744], [-1.876, 1.083, 6.744], [0.000, -2.166, 6.744]], "species": ["Sc", "U", "P", "P"], "frac_coords": [[0.000, 0.000, 0.000], [0.172, 0.172, 0.172], [0.414, 0.414, 0.414], [0.592, 0.592, 0.592]]}


{"formula": "SrPb4Cl", "functional": "GGA-PBE", "state": "optimized geometry", "final_energy_ev_per_cell": -20.23, "sg": "F-43m (216)", "lattice_angstrom": [[0.000, 4.624, 4.624], [4.624, 0.000, 4.624], [4.624, 4.624, 0.000]], "species": ["Sr", "Pb", "Pb", "Pb", "Pb", "Cl"], "frac_coords": [[0.000, 0.000, 0.000], [0.375, 0.375, 0.375], [0.375, 0.375, 0.876], [0.375, 0.876, 0.375], [0.876, 0.375, 0.375], [0.750, 0.750, 0.750]]}


{"formula": "Li5InSb3", "functional": "GGA-PBE", "state": "optimized geometry", "final_energy_ev_per_cell": -57.02, "sg": "C2/c (15)", "lattice_angstrom": [[7.390, -3.312, 0.000], [7.390, 3.312, 0.000], [-3.011, 0.000, 8.892]], "species": ["Li", "Li", "Li", "Li", "Li", "Li", "Li", "Li", "Li", "Li", "In", "In", "Sb", "Sb", "Sb", "Sb", "Sb", "Sb"], "frac_coords": [[0.087, 0.580, 0.916], [0.096, 0.578, 0.422], [0.248, 0.752, 0.750], [0.420, 0.913, 0.584], [0.422, 0.904, 0.078], [0.578, 0.096, 0.922], [0.580, 0.087, 0.416], [0.752, 0.248, 0.250], [0.904, 0.422, 0.578], [0.913, 0.420, 0.084], [0.271, 0.729, 0.250], [0.729, 0.271, 0.750], [0.000, 0.000, 0.000], [0.000, 0.000, 0.500], [0.328, 0.329, 0.666], [0.329, 0.328, 0.166], [0.671, 0.672, 0.834], [0.672, 0.671, 0.334]]}


{"formula": "PrTmTlAu", "functional": "GGA-PBE", "state": "optimized geometry", "relative_energy_mev_per_atom": 80, "sg": "F-43m (216)", "ef_ev_per_atom": -0.52, "lattice_angstrom": [[0.000, 3.761, 3.761], [3.761, 0.000, 3.761], [3.761, 3.761, 0.000]], "species": ["Pr", "Tm", "Tl", "Au"], "frac_coords": [[0.000, 0.000, 0.000], [0.500, 0.500, 0.500], [0.250, 0.250, 0.250], [0.750, 0.750, 0.750]]}


{"formula": "NaEr5Te6", "functional": "GGA-PBE", "state": "optimized geometry", "final_energy_ev_per_cell": -57.91, "sg": "C2/m (12)", "lattice_angstrom": [[3.752, -6.494, 0.000], [3.752, 6.494, 0.000], [-2.506, 0.000, 7.128]], "species": ["Na", "Er", "Er", "Er", "Er", "Er", "Te", "Te", "Te", "Te", "Te", "Te"], "frac_coords": [[0.000, 0.000, 0.000], [0.162, 0.838, 0.500], [0.335, 0.665, 0.000], [0.500, 0.500, 0.500], [0.665, 0.335, 0.000], [0.838, 0.162, 0.500], [0.084, 0.420, 0.253], [0.251, 0.251, 0.754], [0.420, 0.084, 0.253], [0.580, 0.916, 0.747], [0.749, 0.749, 0.246], [0.916, 0.580, 0.747]]}


{"formula": "Mg2InGaPt", "functional": "GGA-PBE", "state": "optimized geometry", "sg": "P4/mmm (123)", "ef_ev_per_atom": -0.30, "lattice_angstrom": [[5.091, 0.000, 0.000], [0.000, 5.091, 0.000], [0.000, 0.000, 4.786]], "species": ["Mg", "Mg", "In", "Ga", "Pt"], "frac_coords": [[0.000, 0.500, 0.000], [0.500, 0.000, 0.000], [0.000, 0.000, 0.500], [0.500, 0.500, 0.500], [0.500, 0.500, 0.000]]}


{"formula": "KTa2", "functional": "GGA-PBE", "state": "optimized geometry", "relative_energy_mev_per_atom": 1456, "sg": "P6_3/mmc (194)", "ef_ev_per_atom": 2.00, "lattice_angstrom": [[4.975, 0.000, 0.000], [-2.488, 4.308, 0.000], [0.000, 0.000, 6.077]], "species": ["K", "K", "Ta", "Ta", "Ta", "Ta"], "frac_coords": [[0.333, 0.667, 0.250], [0.667, 0.333, 0.750], [0.000, 0.000, 0.000], [0.000, 0.000, 0.500], [0.333, 0.667, 0.750], [0.667, 0.333, 0.250]]}


{"formula": "Th2TcH", "functional": "GGA-PBE", "state": "optimized geometry", "relative_energy_mev_per_atom": 0, "sg": "P-1 (2)", "lattice_angstrom": [[3.895, 0.000, 0.000], [-0.001, 6.973, 0.000], [-1.912, -3.450, 6.347]], "species": ["Th", "Th", "Th", "Th", "Tc", "Tc", "H", "H"], "frac_coords": [[0.000, 0.243, 0.000], [0.000, 0.757, 0.000], [0.277, 0.276, 0.554], [0.723, 0.724, 0.446], [0.373, 0.879, 0.754], [0.627, 0.121, 0.246], [0.120, 0.616, 0.235], [0.880, 0.384, 0.765]]}


{"formula": "KNiCl", "functional": "GGA-PBE", "state": "optimized geometry", "relative_energy_mev_per_atom": 86, "sg": "Pnma (62)", "lattice_angstrom": [[10.037, 0.000, 0.000], [0.000, 3.464, 0.000], [0.000, 0.000, 8.413]], "species": ["K", "K", "K", "K", "Ni", "Ni", "Ni", "Ni", "Cl", "Cl", "Cl", "Cl"], "frac_coords": [[0.212, 0.250, 0.024], [0.288, 0.750, 0.524], [0.712, 0.250, 0.476], [0.788, 0.750, 0.976], [0.017, 0.250, 0.597], [0.483, 0.750, 0.097], [0.517, 0.250, 0.903], [0.983, 0.750, 0.403], [0.052, 0.750, 0.777], [0.448, 0.250, 0.277], [0.552, 0.750, 0.723], [0.948, 0.250, 0.223]]}


{"formula": "FeAsPC", "functional": "GGA-PBE", "state": "optimized geometry", "relative_energy_mev_per_atom": 231, "sg": "Cm (8)", "ef_ev_per_atom": 0.41, "lattice_angstrom": [[3.530, -1.430, 0.000], [3.530, 1.430, 0.000], [-0.295, 0.000, 6.189]], "species": ["Fe", "As", "P", "C"], "frac_coords": [[0.000, 0.000, 0.000], [0.572, 0.572, 0.691], [0.294, 0.294, 0.168], [0.718, 0.718, 0.968]]}


{"formula": "CaAc2Th2Rh5", "functional": "GGA-PBE", "state": "optimized geometry", "sg": "P4/mbm (127)", "ef_ev_per_atom": -0.45, "lattice_angstrom": [[11.580, 0.000, 0.000], [0.000, 11.580, 0.000], [0.000, 0.000, 3.684]], "species": ["Ca", "Ca", "Ac", "Ac", "Ac", "Ac", "Th", "Th", "Th", "Th", "Rh", "Rh", "Rh", "Rh", "Rh", "Rh", "Rh", "Rh", "Rh", "Rh"], "frac_coords": [[0.000, 0.000, 0.000], [0.500, 0.500, 0.000], [0.171, 0.329, 0.000], [0.329, 0.829, 0.000], [0.671, 0.171, 0.000], [0.829, 0.671, 0.000], [0.134, 0.634, 0.000], [0.366, 0.134, 0.000], [0.634, 0.866, 0.000], [0.866, 0.366, 0.000], [0.000, 0.500, 0.500], [0.041, 0.785, 0.500], [0.215, 0.041, 0.500], [0.285, 0.541, 0.500], [0.459, 0.285, 0.500], [0.500, 0.000, 0.500], [0.541, 0.715, 0.500], [0.715, 0.459, 0.500], [0.785, 0.959, 0.500], [0.959, 0.215, 0.500]]}


{"formula": "BaAcInPb", "functional": "GGA-PBE", "state": "optimized geometry", "relative_energy_mev_per_atom": 0, "sg": "Amm2 (38)", "ef_ev_per_atom": -0.48, "lattice_angstrom": [[4.801, 0.000, 0.000], [0.000, 2.578, 6.350], [0.000, -2.578, 6.350]], "species": ["Ba", "Ac", "In", "Pb"], "frac_coords": [[0.000, 0.000, 0.000], [0.500, 0.271, 0.271], [0.000, 0.719, 0.719], [0.500, 0.565, 0.565]]}


{"formula": "FeOsRu2", "functional": "GGA-PBE", "state": "optimized geometry", "sg": "Cm (8)", "ef_ev_per_atom": 0.14, "lattice_angstrom": [[4.422, -1.343, 0.000], [4.422, 1.343, 0.000], [-0.808, 0.000, 4.551]], "species": ["Fe", "Os", "Ru", "Ru"], "frac_coords": [[0.000, 0.000, 0.000], [0.749, 0.749, 0.247], [0.250, 0.250, 0.757], [0.499, 0.499, 0.497]]}


{"formula": "La2CrHgC", "functional": "GGA-PBE", "state": "optimized geometry", "sg": "P4/mmm (123)", "ef_ev_per_atom": -0.20, "lattice_angstrom": [[5.439, 0.000, 0.000], [0.000, 5.439, 0.000], [0.000, 0.000, 3.940]], "species": ["La", "La", "Cr", "Hg", "C"], "frac_coords": [[0.000, 0.500, 0.000], [0.500, 0.000, 0.000], [0.000, 0.000, 0.500], [0.500, 0.500, 0.500], [0.000, 0.000, 0.000]]}


{"formula": "K2Rb3WSe6", "functional": "GGA-PBE", "state": "optimized geometry", "final_energy_ev_per_cell": -47.88, "sg": "C2/m (12)", "lattice_angstrom": [[4.020, -6.879, 0.000], [4.020, 6.879, 0.000], [-2.763, 0.000, 7.540]], "species": ["K", "K", "Rb", "Rb", "Rb", "W", "Se", "Se", "Se", "Se", "Se", "Se"], "frac_coords": [[0.166, 0.834, 0.000], [0.834, 0.166, 0.000], [0.000, 0.000, 0.500], [0.323, 0.677, 0.500], [0.677, 0.323, 0.500], [0.500, 0.500, 0.000], [0.170, 0.435, 0.805], [0.309, 0.309, 0.194], [0.435, 0.170, 0.805], [0.565, 0.830, 0.195], [0.691, 0.691, 0.806], [0.830, 0.565, 0.195]]}


{"formula": "Rb3Tl3In8", "functional": "GGA-PBE", "state": "optimized geometry", "sg": "Immm (71)", "ef_ev_per_atom": -0.08, "lattice_angstrom": [[-2.582, 5.906, 7.672], [2.582, -5.906, 7.672], [2.582, 5.906, -7.672]], "species": ["Rb", "Rb", "Rb", "Tl", "Tl", "Tl", "In", "In", "In", "In", "In", "In", "In", "In"], "frac_coords": [[0.000, 0.000, 0.000], [0.311, 0.311, 0.000], [0.689, 0.689, 0.000], [0.300, 0.500, 0.800], [0.500, 0.000, 0.500], [0.700, 0.500, 0.200], [0.037, 0.667, 0.370], [0.118, 0.851, 0.267], [0.297, 0.667, 0.630], [0.416, 0.149, 0.267], [0.584, 0.851, 0.733], [0.703, 0.333, 0.370], [0.882, 0.149, 0.733], [0.963, 0.333, 0.630]]}


| no. | spin magnetization (μB/f.u.) |
| --- | --- |
| 1 | 0.00 |
| 2 | 0.00 |
| 3 | 0.00 |
| 4 | 0.00 |
| 5 | 2.76 |
| 6 | 0.00 |
| 7 | 0.00 |
| 8 | 0.00 |
| 9 | 0.00 |
| 10 | 0.00 |
| 11 | 0.00 |
| 12 | 0.00 |
| 13 | 0.00 |
| 14 | 0.94 |
| 15 | 0.00 |
| 16 | 0.00 |
| 17 | 1.71 |
| 18 | 2.40 |
| 19 | 1.07 |
| 20 | 0.00 |